# NpPaF6

A relaxed structure of NpPaF6 (PBE, Alexandria via LeMat-Bulk).

abc: 4.8722 4.8722 6.5667
angles: 68.22 68.22 60.00
With the nearest neighbours (Å) after each atom.
Sites, in units of the cell vectors:
F (0.4354, 0.9278, 0.7090)  1 Np 2.24, 5 F 2.40-2.48
F (0.9278, 0.4354, 0.7090)  1 Np 2.24, 5 F 2.40-2.48
F (0.0722, 0.0722, 0.2910)  1 Np 2.24, 5 F 2.40-2.48
F (0.0722, 0.5646, 0.2910)  1 Np 2.24, 5 F 2.40-2.48
F (0.5646, 0.0722, 0.2910)  1 Np 2.24, 5 F 2.40-2.48
F (0.9278, 0.9278, 0.7090)  1 Np 2.24, 5 F 2.40-2.48
Pa (0.5000, 0.5000, 0.5000)  12 F 2.73
Np (0.0000, 0.0000, 0.0000)  6 F 2.24

Its electronic total energy is -0.26085 hartree per atom. As for the space group: R-3m.